## Ba2PrNbO6 (PBEsol)

Data for a relaxed Ba2PrNbO6 crystal.

formation energy from raw total energies: -29.64 eV/f.u.

Cell and atoms, written as POSCAR:
```
Ba2PrNbO6
1.0
-4.283 -3.216 2.857
4.343 -3.158 2.954
-0.040 5.725 6.383
O Nb Ba Pr
12 2 4 2
Direct
0.220 0.741 0.461
0.746 0.216 0.961
0.246 0.284 0.539
0.754 0.716 0.461
0.507 0.071 0.229
0.493 0.929 0.771
0.007 0.429 0.271
0.780 0.259 0.539
0.254 0.784 0.039
0.280 0.241 0.961
0.720 0.759 0.039
0.993 0.571 0.729
0.000 0.500 0.500
0.500 0.000 0.000
0.989 0.993 0.248
0.511 0.493 0.748
0.011 0.007 0.752
0.489 0.507 0.252
0.500 0.000 0.500
0.000 0.500 0.000
```


## CaTaCu2Rh (PBEsol)

Data for a relaxed CaTaCu2Rh crystal.

ΔH_f (0 K): 10.66 eV per formula unit

Cell and atoms, written as POSCAR:
```
CaTaCu2Rh
1.0
-2.284 2.654 2.561
-2.834 -3.190 0.779
2.643 -1.414 3.824
Cu Rh Ca Ta
2 1 1 1
Direct
0.000 0.500 0.000
0.500 0.000 0.000
0.500 0.500 0.500
0.000 0.000 0.000
0.000 0.000 0.500
```


## Ca3Y (PBEsol)

Data for a relaxed Ca3Y crystal.

offset from the most stable computed form: 4 meV/atom
ΔH_f (0 K): 0.32 eV per formula unit

Cell and atoms, written as POSCAR:
```
Ca3Y
1.0
-2.765 -1.369 2.078
0.026 -3.581 1.005
5.374 1.287 11.327
Ca Y
3 1
Direct
0.253 0.253 0.242
0.747 0.747 0.758
0.500 0.500 0.500
0.000 0.000 0.000
```


## In4Pb (PBEsol)

Data for a relaxed In4Pb crystal.

ΔH_f (0 K): 0.05 eV per formula unit

Cell and atoms, written as POSCAR:
```
In4Pb
1.0
4.744 0.000 0.000
2.372 5.264 0.000
2.372 0.000 5.264
In Pb
4 1
Direct
0.803 0.599 0.795
0.598 0.205 0.599
0.197 0.401 0.205
0.402 0.795 0.401
0.000 0.000 0.000
```


## BaTa (PBEsol)

Data for a relaxed BaTa crystal.

offset from the most stable computed form: 101 meV/atom
ΔH_f (0 K): 1.96 eV per formula unit

Cell and atoms, written as POSCAR:
```
BaTa
1.0
-0.241 2.404 -2.409
-0.505 -4.302 -4.242
-5.427 0.999 3.957
Ba Ta
2 2
Direct
0.601 0.851 0.203
0.399 0.149 0.797
0.831 0.581 0.661
0.169 0.419 0.339
```


## RbNb3P3O15 (PBEsol)

Data for a relaxed RbNb3P3O15 crystal.

formation energy from raw total energies: -53.42 eV/f.u.

Cell and atoms, written as POSCAR:
```
RbNb3P3O15
1.0
6.508 0.019 0.000
0.057 13.504 0.000
0.000 0.000 14.892
O Nb Rb P
60 12 4 12
Direct
0.314 0.702 0.280
0.496 0.801 0.054
0.189 0.143 0.481
0.312 0.559 0.612
0.814 0.202 0.220
0.194 0.063 0.887
0.686 0.298 0.720
0.497 0.706 0.546
0.996 0.313 0.107
0.997 0.231 0.605
0.007 0.639 0.734
0.995 0.171 0.784
0.812 0.059 0.888
0.504 0.199 0.946
0.000 0.500 0.000
0.500 0.000 0.000
0.315 0.641 0.020
0.689 0.643 0.019
0.500 0.000 0.500
0.806 0.937 0.113
0.310 0.294 0.721
0.997 0.564 0.325
0.003 0.436 0.675
0.306 0.437 0.387
0.503 0.936 0.825
0.497 0.064 0.175
0.185 0.859 0.520
0.004 0.699 0.554
0.190 0.206 0.221
0.507 0.139 0.766
0.503 0.294 0.454
0.811 0.857 0.519
0.496 0.813 0.393
0.311 0.357 0.981
0.999 0.635 0.153
0.501 0.865 0.653
0.503 0.269 0.105
0.004 0.687 0.893
0.690 0.706 0.279
0.003 0.769 0.395
0.000 0.500 0.500
0.497 0.731 0.895
0.685 0.359 0.980
0.996 0.301 0.446
0.997 0.206 0.954
0.810 0.794 0.779
0.493 0.861 0.234
0.815 0.141 0.480
0.186 0.798 0.780
0.495 0.671 0.716
0.505 0.329 0.284
0.005 0.829 0.216
0.001 0.365 0.847
0.499 0.135 0.347
0.003 0.794 0.046
0.694 0.563 0.613
0.993 0.361 0.266
0.188 0.941 0.112
0.504 0.187 0.607
0.688 0.441 0.388
0.998 0.359 0.975
0.002 0.562 0.613
0.498 0.859 0.525
0.997 0.308 0.724
0.002 0.641 0.025
0.998 0.438 0.387
0.498 0.938 0.113
0.502 0.141 0.475
0.497 0.808 0.776
0.502 0.062 0.887
0.003 0.692 0.276
0.503 0.192 0.224
0.050 0.021 0.319
0.950 0.979 0.681
0.550 0.521 0.181
0.450 0.479 0.819
0.001 0.728 0.797
0.999 0.272 0.203
0.999 0.208 0.504
0.501 0.372 0.380
0.499 0.772 0.297
0.499 0.708 0.996
0.001 0.872 0.120
0.501 0.228 0.703
0.001 0.792 0.496
0.999 0.128 0.880
0.501 0.292 0.004
0.499 0.628 0.620
```


## CdAu (PBEsol)

Data for a relaxed CdAu crystal.

ΔH_f (0 K): -0.28 eV per formula unit

Cell and atoms, written as POSCAR:
```
CdAu
1.0
-0.368 3.301 -4.131
-5.160 -1.129 -0.443
-1.155 3.991 3.292
Au Cd
4 4
Direct
0.402 0.402 0.402
0.598 0.902 0.098
0.902 0.098 0.598
0.098 0.598 0.902
0.404 0.904 0.596
0.096 0.096 0.096
0.904 0.596 0.404
0.596 0.404 0.904
```


## CuIrOs (PBEsol)

Data for a relaxed CuIrOs crystal.

offset from the most stable computed form: 0 meV/atom
ΔH_f (0 K): 0.54 eV per formula unit

Cell and atoms, written as POSCAR:
```
CuIrOs
1.0
-2.412 -1.207 0.248
1.628 -3.333 -0.395
0.898 2.057 3.956
Ir Os Cu
1 1 1
Direct
0.668 0.668 0.335
0.333 0.333 0.666
0.999 0.999 0.999
```


## TaBe4Pb (PBEsol)

Data for a relaxed TaBe4Pb crystal.

ΔH_f (0 K): 2.67 eV per formula unit

Cell and atoms, written as POSCAR:
```
TaBe4Pb
1.0
-3.888 -2.701 0.241
-0.508 -3.689 -2.933
0.287 -4.422 1.682
Be Ta Pb
4 1 1
Direct
0.368 0.897 0.368
0.368 0.368 0.897
0.368 0.368 0.368
0.897 0.368 0.368
0.000 0.000 0.000
0.750 0.750 0.750
```


## LiNiP2O (PBEsol)

Data for a relaxed LiNiP2O crystal.

formation energy from raw total energies: 0.39 eV/f.u.

Cell and atoms, written as POSCAR:
```
LiNiP2O
1.0
3.391 0.000 0.000
0.000 4.665 0.000
0.000 0.000 4.665
Li O P Ni
1 1 2 1
Direct
0.500 0.500 0.500
0.500 0.000 0.000
0.000 0.500 0.000
0.000 0.000 0.500
0.000 0.000 0.000
```


## CdMoAs (PBEsol)

Data for a relaxed CdMoAs crystal.

offset from the most stable computed form: 0 meV/atom
ΔH_f (0 K): 1.06 eV per formula unit

Cell and atoms, written as POSCAR:
```
CdMoAs
1.0
-1.278 2.467 0.005
-2.811 -1.463 3.343
3.978 2.059 1.073
Mo As Cd
1 1 1
Direct
0.500 0.667 0.333
0.500 0.000 0.000
0.000 0.333 0.667
```


## PbIO2 (PBEsol)

Data for a relaxed PbIO2 crystal.

offset from the most stable computed form: 761 meV/atom
formation energy from raw total energies: 0.85 eV/f.u.

Cell and atoms, written as POSCAR:
```
PbIO2
1.0
4.527 0.000 0.000
2.263 3.920 0.000
2.263 1.307 3.696
Pb I O
1 1 2
Direct
0.500 0.500 0.500
0.000 0.000 0.000
0.250 0.250 0.250
0.750 0.750 0.750
```